(1)
SrHg5 | SCAN | PBEsol geometry

## Properties
For the electronic total energy, the calculation gives -60.878 eV per atom. Its energy above the most stable polymorph in this dataset is 0.116 eV/f.u. The calculation puts the energy relative to the elements at -361 meV per atom.

Cell and atoms, written as POSCAR:
```
SrHg5
1.0
-2.677 4.251 1.272
-1.623 -2.495 4.923
4.839 3.105 -0.193
Hg Sr
5 1
direct
0.000 0.358 0.358
0.000 0.642 0.000
0.000 0.000 0.642
0.500 0.667 0.333
0.500 0.333 0.667
0.500 0.000 0.000
```

(2)
Sr5Hg | SCAN | PBEsol geometry

## Properties
For the electronic total energy, the calculation gives -30.135 eV per atom. The calculation puts the energy relative to the elements at -212 meV per atom.

Cell and atoms, written as POSCAR:
```
Sr5Hg
1.0
-0.180 -2.986 -2.799
3.760 -5.645 2.791
-6.049 -6.550 4.385
Sr Hg
5 1
direct
0.028 0.500 0.444
0.359 0.055 0.228
0.697 0.945 0.661
0.655 0.617 0.072
0.400 0.383 0.817
0.028 0.000 0.945
```

(3)
SrHg2 | SCAN | PBEsol geometry

## Properties
For the electronic total energy, the calculation gives -53.469 eV per atom. The calculation puts the energy relative to the elements at -600 meV per atom.

Cell and atoms, written as POSCAR:
```
SrHg2
1.0
3.997 0.000 0.000
0.000 3.997 0.000
-1.998 -1.998 5.038
Hg Sr
2 1
direct
0.674 0.674 0.349
0.326 0.326 0.651
0.000 0.000 0.000
```

(4)
SrHg3 | SCAN | PBEsol geometry

## Properties
For the electronic total energy, the calculation gives -57.229 eV per atom. The calculation puts the energy relative to the elements at -536 meV per atom.

Cell and atoms, written as POSCAR:
```
SrHg3
1.0
-2.824 -3.094 2.877
4.714 -4.928 -0.674
0.414 4.451 5.195
Sr Hg
2 6
direct
0.250 0.667 0.333
0.750 0.333 0.667
0.750 0.310 0.155
0.250 0.155 0.845
0.750 0.845 0.155
0.250 0.690 0.845
0.250 0.155 0.310
0.750 0.845 0.690
```

(5)
SrHg3 | SCAN | PBEsol geometry

## Properties
For the electronic total energy, the calculation gives -57.219 eV per atom. The calculation puts the energy relative to the elements at -526 meV per atom.

Cell and atoms, written as POSCAR:
```
SrHg3
1.0
5.263 0.000 0.000
0.000 5.728 0.000
0.000 0.000 6.770
Hg Sr
6 2
direct
0.000 0.656 0.251
0.000 0.198 0.500
0.500 0.344 0.249
0.500 0.344 0.751
0.000 0.656 0.749
0.500 0.802 0.000
0.500 0.853 0.500
0.000 0.147 0.000
```

(6)
Sr2Hg3 | SCAN | PBEsol geometry

## Properties
For the electronic total energy, the calculation gives -50.421 eV per atom. The calculation puts the energy relative to the elements at -611 meV per atom.

Cell and atoms, written as POSCAR:
```
Sr2Hg3
1.0
-1.417 -2.178 -4.239
3.107 -0.148 -3.879
3.164 -6.981 -0.386
Hg Sr
3 2
direct
0.000 0.000 0.000
0.166 0.166 0.501
0.834 0.834 0.499
0.412 0.412 0.764
0.588 0.588 0.236
```

Question: The highest electronic total energy belongs to which entry?
Answer: Sr5Hg

Question: Among the records above, which one has the highest energy relative to the elements?
Answer: Sr5Hg

Question: What is the energy relative to the elements in the fourth record?
Answer: -536 meV per atom

Question: What is the energy relative to the elements in the fourth record?
Answer: -536 meV per atom